# 1
CaPr8Sm6: relaxed, PBE-GGA.

calculated formation energy: 0.1510 eV/atom

a b c (Å): 8.4307 8.4307 8.4307
angles (deg): 72.35 72.35 72.35
Last column: nearest neighbours and their distance in Å.
Fractional coordinates of all 15 atoms:
Ca  0.0000  0.0000  0.0000  6 Pr 3.20
Pr  0.0533  0.8598  0.3820  1 Ca 3.20, 2 Pr 3.29-3.44, 4 Sm 3.48-3.56
Pr  0.1402  0.6180  0.9467  1 Ca 3.20, 2 Pr 3.29-3.44, 4 Sm 3.48-3.56
Pr  0.2349  0.2349  0.2349  6 Pr 3.44-3.65
Pr  0.3820  0.0533  0.8598  1 Ca 3.20, 2 Pr 3.29-3.44, 4 Sm 3.48-3.56
Pr  0.6180  0.9467  0.1402  1 Ca 3.20, 2 Pr 3.29-3.44, 4 Sm 3.48-3.56
Pr  0.7651  0.7651  0.7651  6 Pr 3.44-3.65
Pr  0.8598  0.3820  0.0533  1 Ca 3.20, 2 Pr 3.29-3.44, 4 Sm 3.48-3.56
Pr  0.9467  0.1402  0.6180  1 Ca 3.20, 2 Pr 3.29-3.44, 4 Sm 3.48-3.56
Sm  0.1719  0.4312  0.6191  7 Pr 3.48-3.90, 3 Sm 3.72-3.87
Sm  0.3809  0.8281  0.5688  7 Pr 3.48-3.90, 3 Sm 3.72-3.87
Sm  0.4312  0.6191  0.1719  7 Pr 3.48-3.90, 3 Sm 3.72-3.87
Sm  0.5688  0.3809  0.8281  7 Pr 3.48-3.90, 3 Sm 3.72-3.87
Sm  0.6191  0.1719  0.4312  7 Pr 3.48-3.90, 3 Sm 3.72-3.87
Sm  0.8281  0.5688  0.3809  7 Pr 3.48-3.90, 3 Sm 3.72-3.87


# 2
CaPr8Sm4: relaxed, PBE-GGA.

calculated formation energy: 0.0282 eV/atom

a b c (Å): 6.4055 6.4055 15.2190
angles (deg): 93.87 93.87 48.37
Last column: nearest neighbours and their distance in Å.
Fractional coordinates of all 13 atoms:
Ca  0.0000  0.0000  0.0000  8 Pr 3.69-3.73, 4 Sm 3.77
Pr  0.0762  0.0762  0.7667  4 Sm 3.64-3.72, 7 Pr 3.68-3.71, 1 Ca 3.72
Pr  0.2330  0.2330  0.3092  7 Pr 3.66-3.71, 5 Sm 3.66-3.69
Pr  0.3060  0.3060  0.0798  5 Pr 3.66-3.74, 4 Sm 3.66-3.79, 3 Ca 3.69-3.73
Pr  0.4602  0.4602  0.6145  6 Sm 3.64-3.70, 6 Pr 3.67-3.70
Pr  0.5398  0.5398  0.3855  6 Sm 3.64-3.70, 6 Pr 3.67-3.70
Pr  0.6940  0.6940  0.9202  5 Pr 3.66-3.74, 4 Sm 3.66-3.79, 3 Ca 3.69-3.73
Pr  0.7670  0.7670  0.6908  7 Pr 3.66-3.71, 5 Sm 3.66-3.69
Pr  0.9238  0.9238  0.2333  4 Sm 3.64-3.72, 7 Pr 3.68-3.71, 1 Ca 3.72
Sm  0.1525  0.1525  0.5376  3 Sm 3.66-3.71, 9 Pr 3.66-3.70
Sm  0.3795  0.3795  0.8413  10 Pr 3.64-3.79, 2 Ca 3.77
Sm  0.6205  0.6205  0.1587  10 Pr 3.64-3.79, 2 Ca 3.77
Sm  0.8475  0.8475  0.4624  3 Sm 3.66-3.71, 9 Pr 3.66-3.70


# 3
CaPr3Sm: relaxed, PBE-GGA.

calculated formation energy: 0.1507 eV/atom
distance to the lowest polymorph of the same formula: 0.084 eV per atom

a b c (Å): 6.4026 6.4026 11.5308
angles (deg): 90.00 90.00 128.03
Last column: nearest neighbours and their distance in Å.
Fractional coordinates of all 10 atoms:
Ca  0.1563  0.8437  0.0000  2 Pr 3.53, 3 Ca 3.54-3.60
Ca  0.8437  0.1563  0.0000  2 Pr 3.53, 3 Ca 3.54-3.60
Pr  0.1531  0.8469  0.3062  3 Sm 3.28-3.59, 5 Pr 3.53-3.59, 1 Ca 3.53
Pr  0.1531  0.8469  0.6938  3 Sm 3.28-3.59, 5 Pr 3.53-3.59, 1 Ca 3.53
Pr  0.5000  0.5000  0.1871  4 Pr 3.59, 2 Sm 3.94, 4 Ca 3.97
Pr  0.5000  0.5000  0.8129  4 Pr 3.59, 2 Sm 3.94, 4 Ca 3.97
Pr  0.8469  0.1531  0.3062  3 Sm 3.28-3.59, 5 Pr 3.53-3.59, 1 Ca 3.53
Pr  0.8469  0.1531  0.6938  3 Sm 3.28-3.59, 5 Pr 3.53-3.59, 1 Ca 3.53
Sm  0.3616  0.6384  0.5000  1 Sm 3.19, 2 Pr 3.28
Sm  0.6384  0.3616  0.5000  1 Sm 3.19, 2 Pr 3.28


# 4
CaPrSm: relaxed, PBE-GGA.

calculated formation energy: 0.0615 eV/atom
distance to the lowest polymorph of the same formula: 0.031 eV per atom

a b c (Å): 10.8655 10.8655 5.7764
angles (deg): 90.00 90.00 160.79
Last column: nearest neighbours and their distance in Å.
Fractional coordinates of all 6 atoms:
Ca  0.2055  0.7945  0.7500  1 Pr 3.57, 6 Ca 3.63-3.91, 5 Sm 3.92-3.96
Ca  0.7945  0.2055  0.2500  1 Pr 3.57, 6 Ca 3.63-3.91, 5 Sm 3.92-3.96
Pr  0.0390  0.9610  0.7500  4 Pr 3.34-3.63, 1 Ca 3.57, 2 Sm 3.70
Pr  0.9610  0.0390  0.2500  4 Pr 3.34-3.63, 1 Ca 3.57, 2 Sm 3.70
Sm  0.3883  0.6117  0.7500  2 Sm 3.63, 6 Pr 3.70-3.75, 5 Ca 3.92-3.96
Sm  0.6117  0.3883  0.2500  2 Sm 3.63, 6 Pr 3.70-3.75, 5 Ca 3.92-3.96